Record 1
{"formula": "ZrCdRe2Te", "functional": "GGA-PBE", "state": "optimized geometry", "e_form_raw_ev_per_atom": 2.27, "space_group": "P4/mmm (123)", "lattice": [[-3.4303, -2.0882, 2.8815], [-0.6398, -3.7423, -3.4737], [3.5052, -2.6738, 2.2350]], "species": ["Te", "Cd", "Zr", "Re", "Re"], "fractional_positions": [[0.0000, 0.5000, 0.0000], [0.0000, 0.0000, 0.0000], [0.5000, 0.5000, 0.5000], [0.5000, 0.0000, 0.0000], [0.0000, 0.0000, 0.5000]]}

Record 2
{"formula": "ReNiB", "functional": "GGA-PBE", "state": "optimized geometry", "formation_energy_ev_per_atom": -0.157, "space_group": "Fmmm (69)", "lattice": [[4.3712, 0.0504, 0.0000], [-2.0491, 3.8615, 0.0000], [-1.1610, -1.9559, 3.7463]], "species": ["Ni", "Ni", "Re", "Re", "B", "B"], "fractional_positions": [[0.8213, 0.8213, 0.6426], [0.1787, 0.1787, 0.3574], [0.3313, 0.6687, 0.0000], [0.6687, 0.3313, 0.0000], [0.2500, 0.7500, 0.5000], [0.7500, 0.2500, 0.5000]]}

Record 3
{"formula": "LaTm2Sn2", "functional": "GGA-PBE", "state": "optimized geometry", "formation_energy_ev_per_atom": -0.366, "space_group": "C2/c (15)", "lattice": [[-6.5757, 3.2462, 3.0730], [-1.0652, -7.2682, 3.0431], [5.2727, 2.7569, 2.2927]], "species": ["La", "La", "Tm", "Tm", "Tm", "Tm", "Sn", "Sn", "Sn", "Sn"], "fractional_positions": [[0.8836, 0.6164, 0.7500], [0.1164, 0.3836, 0.2500], [0.5674, 0.2791, 0.9897], [0.2209, 0.9326, 0.5103], [0.7791, 0.0674, 0.4897], [0.4326, 0.7209, 0.0103], [0.8339, 0.6661, 0.2500], [0.1661, 0.3339, 0.7500], [0.6130, 0.8870, 0.7500], [0.3870, 0.1130, 0.2500]]}

Record 4
{"formula": "AcLa4NdEr2", "functional": "GGA-PBE", "state": "optimized geometry", "formation_energy_ev_per_atom": 0.030, "space_group": "C2/m (12)", "lattice": [[-0.7144, -5.1011, 1.0199], [5.1334, -3.6559, -1.1725], [1.6070, -1.0018, 9.6322]], "species": ["Nd", "La", "La", "La", "La", "Er", "Er", "Ac"], "fractional_positions": [[0.0000, 0.0000, 0.0000], [0.3735, 0.3759, 0.8772], [0.6265, 0.6241, 0.1228], [0.8768, 0.8757, 0.3708], [0.1232, 0.1243, 0.6292], [0.2553, 0.2439, 0.2456], [0.7447, 0.7561, 0.7544], [0.5000, 0.5000, 0.5000]]}